# 1
Below is SrOsN2F at its PBEsol-relaxed geometry, with properties calculated at the meta-GGA SCAN level.

Calculated values
Its total magnetization is 0.00 μB per atom.

Cell lengths 3.824, 3.824, 4.641 Å; angles 90.00, 90.00, 90.00 degrees
Space group P4/mmm (No. 123)
Asymmetric unit:
Sr 0.000 0.000 0.000 [1 per cell]
Os 0.500 0.500 0.500 [1 per cell]
N 0.000 0.500 0.500 [2 per cell]
F 0.500 0.500 0.000 [1 per cell]

# 2
Below is TeOsN2F at its PBEsol-relaxed geometry, with properties calculated at the meta-GGA SCAN level.

Calculated values
Its total magnetization is 0.00 μB per atom.

Cell lengths 3.925, 3.925, 4.132 Å; angles 90.00, 90.00, 90.00 degrees
Space group P4/mmm (No. 123)
Asymmetric unit:
Te 0.000 0.000 0.000 [1 per cell]
Os 0.500 0.500 0.500 [1 per cell]
N 0.000 0.500 0.500 [2 per cell]
F 0.500 0.500 0.000 [1 per cell]

# 3
Below is TiOsN2F at its PBEsol-relaxed geometry, with properties calculated at the meta-GGA SCAN level.

Calculated values
Its total magnetization is 0.34 μB per atom.

Cell lengths 3.960, 3.960, 3.614 Å; angles 90.00, 90.00, 90.00 degrees
Space group P4/mmm (No. 123)
Asymmetric unit:
Ti 0.000 0.000 0.000 [1 per cell]
Os 0.500 0.500 0.500 [1 per cell]
N 0.000 0.500 0.000 [2 per cell]
F 0.000 0.000 0.500 [1 per cell]

Number 1: N(E_F) 1.9 states/eV per cell, E_tot -120.45 eV per formula unit. Number 2: N(E_F) 3.5 states/eV per cell, E_tot -128.21 eV per formula unit. Number 3: N(E_F) 3.5 states/eV per cell, E_tot -108.83 eV per formula unit.